PBE-GGA Ce8Os5Ru, optimized geometry; final energy = -8.2405 eV per atom; size of the total moment = 0.00 μB per formula unit; density of states at the Fermi level = 1.206 states/eV/atom
1.0
-3.225 6.257 -2.480
6.166 -1.384 -3.971
-4.782 -5.683 -0.736
Ce Os Ru
8 5 1
Direct
0.131 0.752 0.995
0.005 0.135 0.757
0.739 0.246 0.369
0.631 0.370 0.878
0.507 0.630 0.261
0.622 0.865 0.869
0.243 0.248 0.378
0.122 0.754 0.493
0.003 0.375 0.130
0.870 0.873 0.245
0.755 0.625 0.628
0.500 0.000 0.500
0.372 0.127 0.997
0.250 0.500 0.750